A plane-wave DFT calculation with GGA-PBEsol was carried out for an optimized crystal structure of BeSiIr2.

For the energy above the most stable polymorph in this dataset, the calculation gives 61.8 meV per atom. The density of states at the Fermi level is 0.2356 states/eV per atom. Its magnetization is 0.0 Bohr magnetons per cell. The uncorrected formation energy comes out at -0.634 eV per atom.

Cell and atoms, written as CIF:
```
data_BeSiIr2
_chemical_formula_sum 'Be1 Si1 Ir2'
_cell_length_a 2.884
_cell_length_b 2.884
_cell_length_c 5.689
_cell_angle_alpha 90.00
_cell_angle_beta 90.00
_cell_angle_gamma 90.00
_space_group_name_H-M_alt 'P 4/m m m'
_space_group_IT_number 123
_space_group_name_Hall '-P 4 2'
loop_
_atom_site_label
_atom_site_type_symbol
_atom_site_fract_x
_atom_site_fract_y
_atom_site_fract_z
Be1 Be 0.000 0.000 0.000
Si1 Si 0.000 0.000 0.500
Ir1 Ir 0.500 0.500 0.246
```


A plane-wave DFT calculation with GGA-PBEsol was carried out for an optimized crystal structure of Be2SiIr2.

For the energy above the most stable polymorph in this dataset, the calculation gives 44.5 meV per atom. The density of states at the Fermi level is 0.3244 states/eV per atom. Its magnetization is 0.0 Bohr magnetons per cell. The uncorrected formation energy comes out at -0.357 eV per atom.

Cell and atoms, written as CIF:
```
data_Be2SiIr2
_chemical_formula_sum 'Be4 Si2 Ir4'
_cell_length_a 6.388
_cell_length_b 6.388
_cell_length_c 2.729
_cell_angle_alpha 90.00
_cell_angle_beta 90.00
_cell_angle_gamma 90.00
_space_group_name_H-M_alt 'P 4/m b m'
_space_group_IT_number 127
_space_group_name_Hall '-P 4 2ab'
loop_
_atom_site_label
_atom_site_type_symbol
_atom_site_fract_x
_atom_site_fract_y
_atom_site_fract_z
Be1 Be 0.116 0.384 0.000
Si1 Si 0.000 0.000 0.000
Ir1 Ir 0.180 0.680 0.500
```


A plane-wave DFT calculation with GGA-PBEsol was carried out for an optimized crystal structure of BeSiIr2.

For the energy above the most stable polymorph in this dataset, the calculation gives 538.1 meV per atom. The density of states at the Fermi level is 0.6187 states/eV per atom. Its magnetization is 0.0 Bohr magnetons per cell. The uncorrected formation energy comes out at -0.158 eV per atom.

Cell and atoms, written as CIF:
```
data_BeSiIr2
_chemical_formula_sum 'Be3 Si3 Ir6'
_cell_length_a 2.7390
_cell_length_b 2.7390
_cell_length_c 23.4758
_cell_angle_alpha 90.00
_cell_angle_beta 90.00
_cell_angle_gamma 120.00
_space_group_name_H-M_alt 'R 3 m'
_space_group_IT_number 160
_space_group_name_Hall 'R 3 -2"'
loop_
_atom_site_label
_atom_site_type_symbol
_atom_site_fract_x
_atom_site_fract_y
_atom_site_fract_z
Be1 Be 0.0000 0.0000 0.0000
Si1 Si 0.0000 0.0000 0.2518
Ir1 Ir 0.0000 0.0000 0.5060
Ir2 Ir 0.0000 0.0000 0.7396
```


A plane-wave DFT calculation with GGA-PBEsol was carried out for an optimized crystal structure of BeSiIr.

The density of states at the Fermi level is 0.1797 states/eV per atom. Its magnetization is 0.0 Bohr magnetons per cell. The uncorrected formation energy comes out at -0.594 eV per atom.

Cell and atoms, written as CIF:
```
data_BeSiIr
_chemical_formula_sum 'Be2 Si2 Ir2'
_cell_length_a 2.810
_cell_length_b 3.346
_cell_length_c 7.364
_cell_angle_alpha 90.00
_cell_angle_beta 90.00
_cell_angle_gamma 90.00
_space_group_name_H-M_alt 'I m m 2'
_space_group_IT_number 44
_space_group_name_Hall 'I 2 -2'
loop_
_atom_site_label
_atom_site_type_symbol
_atom_site_fract_x
_atom_site_fract_y
_atom_site_fract_z
Be1 Be 0.000 0.000 0.000
Si1 Si 0.000 0.000 0.668
Ir1 Ir 0.000 0.000 0.335
```


A plane-wave DFT calculation with GGA-PBEsol was carried out for an optimized crystal structure of Be2SiIr2.

For the energy above the most stable polymorph in this dataset, the calculation gives 0.0 meV per atom. The density of states at the Fermi level is 0.4016 states/eV per atom. Its magnetization is 0.0 Bohr magnetons per cell. The uncorrected formation energy comes out at -0.401 eV per atom.

Cell and atoms, written as CIF:
```
data_Be2SiIr2
_chemical_formula_sum 'Be4 Si2 Ir4'
_cell_length_a 6.417
_cell_length_b 6.417
_cell_length_c 2.880
_cell_angle_alpha 90.00
_cell_angle_beta 90.00
_cell_angle_gamma 90.00
_space_group_name_H-M_alt 'P 4/m b m'
_space_group_IT_number 127
_space_group_name_Hall '-P 4 2ab'
loop_
_atom_site_label
_atom_site_type_symbol
_atom_site_fract_x
_atom_site_fract_y
_atom_site_fract_z
Be1 Be 0.132 0.368 0.000
Si1 Si 0.000 0.000 0.500
Ir1 Ir 0.162 0.662 0.500
```


A plane-wave DFT calculation with GGA-PBEsol was carried out for an optimized crystal structure of BeSiIr2.

For the energy above the most stable polymorph in this dataset, the calculation gives 0.0 meV per atom. The density of states at the Fermi level is 0.2501 states/eV per atom. Its magnetization is 0.0 Bohr magnetons per cell. The uncorrected formation energy comes out at -0.696 eV per atom.

Cell and atoms, written as CIF:
```
data_BeSiIr2
_chemical_formula_sum 'Be4 Si4 Ir8'
_cell_length_a 5.735
_cell_length_b 5.735
_cell_length_c 5.735
_cell_angle_alpha 90.00
_cell_angle_beta 90.00
_cell_angle_gamma 90.00
_space_group_name_H-M_alt 'F m -3 m'
_space_group_IT_number 225
_space_group_name_Hall '-F 4 2 3'
loop_
_atom_site_label
_atom_site_type_symbol
_atom_site_fract_x
_atom_site_fract_y
_atom_site_fract_z
Be1 Be 0.000 0.000 0.000
Si1 Si 0.000 0.000 0.500
Ir1 Ir 0.250 0.250 0.250
```